Compound: NpAlCuS4
Source: Alexandria via LeMat-Bulk
Functional: PBE
Structure: relaxed

a = 7.2722 Å, b = 7.6168 Å, c = 10.4175 Å
α = 90.00°, β = 90.00°, γ = 90.00°
Space group Imma (No. 74)
Inequivalent atoms, fractional coordinates:
Np1 0.0000 0.0000 0.0000 (multiplicity 4)
Al1 0.2500 0.2500 0.2500 (multiplicity 4)
Cu1 0.0000 0.2500 0.6341 (multiplicity 4)
S1 0.0000 0.0306 0.2569 (multiplicity 8)
S2 0.2449 0.2500 0.4901 (multiplicity 8)

- raw formation energy (eV/atom) = -0.90
- ρ (g/cm3) = 5.25